CaNi4GeP2 | GGA-PBE | optimized geometry

Computed properties:
DFT formation energy = -59 kJ per mole of atoms

a b c (Å): 3.9284 3.9284 7.3151
angles (deg): 90.00 90.00 90.00
Closest atoms and distances in Å follow each position.
Space group P4/mmm (No. 123)
Symmetry-distinct sites (fractional):
Ca 0.0000 0.0000 0.0000 (multiplicity 1)  8 Ni 3.01, 8 P 3.01
Ni 0.0000 0.5000 0.3115 (multiplicity 4)  2 P 2.26, 2 Ge 2.40
Ge 0.0000 0.0000 0.5000 (multiplicity 1)  8 Ni 2.40
P 0.5000 0.5000 0.1600 (multiplicity 2)  4 Ni 2.26, 1 P 2.34